one.
First-principles (GGA-PBE) data for a relaxed structure of CaPm2Cu, as listed in the Alexandria database.

Calculated values
As for the magnetization: 0.00 μB/cell.

The structure in CIF format:
```
data_CaPm2Cu
_cell_length_a 3.7695
_cell_length_b 3.7695
_cell_length_c 31.0509
_cell_angle_alpha 90.00
_cell_angle_beta 90.00
_cell_angle_gamma 120.00
_space_group_name_H-M_alt 'R 3 m'
_space_group_IT_number 160
_space_group_name_Hall 'R 3 -2"'
loop_
_atom_site_label
_atom_site_fract_x
_atom_site_fract_y
_atom_site_fract_z
_atom_site_occupancy
Ca1 0.0000 0.0000 0.0000 1
Pm1 0.0000 0.0000 0.2291 1
Pm2 0.0000 0.0000 0.4367 1
Cu1 0.0000 0.0000 0.8331 1
```

=====

two.
First-principles (GGA-PBE) data for a relaxed structure of CaPm2Cu, as listed in the Alexandria database.

Calculated values
As for the magnetization: 0.00 μB/cell.

The structure in CIF format:
```
data_CaPm2Cu
_cell_length_a 3.643
_cell_length_b 3.643
_cell_length_c 9.198
_cell_angle_alpha 90.00
_cell_angle_beta 90.00
_cell_angle_gamma 90.00
_space_group_name_H-M_alt 'P 4/m m m'
_space_group_IT_number 123
_space_group_name_Hall '-P 4 2'
loop_
_atom_site_label
_atom_site_fract_x
_atom_site_fract_y
_atom_site_fract_z
_atom_site_occupancy
Ca1 0.000 0.000 0.000 1
Pm1 0.500 0.500 0.320 1
Cu1 0.000 0.000 0.500 1
```

=====

Tell me which of them is the most stable. Sure, it is two.